[1]
# K2Tl3TeS6 | Alexandria via LeMat-Bulk | PBE | relaxed
data_K2Tl3TeS6
_space_group_name_H-M_alt 'P 1'
_space_group_IT_number 1
_space_group_name_Hall 'P 1'
_cell_length_a 7.692
_cell_length_b 7.692
_cell_length_c 7.160
_cell_angle_alpha 102.42
_cell_angle_beta 102.42
_cell_angle_gamma 120.67
loop_
_atom_site_label
_atom_site_fract_x
_atom_site_fract_y
_atom_site_fract_z
K1 0.172 0.828 0.000
K2 0.828 0.172 0.000
Tl1 0.000 0.000 0.500
Tl2 0.338 0.662 0.500
Tl3 0.662 0.338 0.500
Te1 0.500 0.500 0.000
S1 0.109 0.384 0.742
S2 0.298 0.298 0.227
S3 0.384 0.109 0.742
S4 0.616 0.891 0.258
S5 0.702 0.702 0.773
S6 0.891 0.616 0.258
# * formation energy (no corrections): -0.37 eV/atom

[2]
# K2TlTeS | Alexandria via LeMat-Bulk | PBE | relaxed
data_K2TlTeS
_space_group_name_H-M_alt 'P 1'
_space_group_IT_number 1
_space_group_name_Hall 'P 1'
_cell_length_a 8.038
_cell_length_b 5.543
_cell_length_c 8.045
_cell_angle_alpha 90.00
_cell_angle_beta 92.07
_cell_angle_gamma 90.00
loop_
_atom_site_label
_atom_site_fract_x
_atom_site_fract_y
_atom_site_fract_z
K1 0.005 0.250 0.197
K2 0.470 0.250 0.155
K3 0.530 0.750 0.845
K4 0.995 0.750 0.803
Tl1 0.306 0.750 0.432
Tl2 0.694 0.250 0.568
Te1 0.276 0.250 0.575
Te2 0.724 0.750 0.425
S1 0.247 0.750 0.112
S2 0.753 0.250 0.888
# * formation energy (no corrections): -0.77 eV/atom

[3]
# K2Tl2Te2S | Alexandria via LeMat-Bulk | PBE | relaxed
data_K2Tl2Te2S
_space_group_name_H-M_alt 'P 1'
_space_group_IT_number 1
_space_group_name_Hall 'P 1'
_cell_length_a 4.667
_cell_length_b 8.070
_cell_length_c 8.379
_cell_angle_alpha 63.74
_cell_angle_beta 73.91
_cell_angle_gamma 73.27
loop_
_atom_site_label
_atom_site_fract_x
_atom_site_fract_y
_atom_site_fract_z
K1 0.038 0.209 0.215
K2 0.962 0.791 0.785
Tl1 0.307 0.606 0.281
Tl2 0.693 0.394 0.719
Te1 0.344 0.195 0.615
Te2 0.656 0.805 0.385
S1 0.500 0.500 0.000
# * formation energy (no corrections): -0.62 eV/atom

formation energy (no corrections) of number 1 (K2Tl3TeS6)?
-0.37 eV/atom

The lowest formation energy (no corrections) belongs to which entry?
K2TlTeS